Record 1
## TaHg2P (GGA-PBE)

Data for a geometry-optimized TaHg2P structure.

Cell lengths 3.3780, 3.3780, 26.3724 Å; angles 90.00, 90.00, 120.00 degrees
Space group R3m (No. 160, hexagonal axes)
Inequivalent atoms, fractional coordinates:
Ta1 0.0000 0.0000 0.0000 [3 per cell]
Hg1 0.0000 0.0000 0.5187 [3 per cell]
Hg2 0.0000 0.0000 0.7529 [3 per cell]
P1 0.0000 0.0000 0.2784 [3 per cell]

Properties
DOS at the Fermi energy: 0.521 states/eV/atom
Formation energy: 79 meV/atom


Record 2
## CdTcPd2I (GGA-PBE)

Data for a geometry-optimized CdTcPd2I structure.

Cell lengths 4.964, 4.964, 5.061 Å; angles 90.00, 90.00, 90.00 degrees
Space group P4/mmm (No. 123)
Inequivalent atoms, fractional coordinates:
Cd1 0.000 0.000 0.000 [1 per cell]
Tc1 0.500 0.500 0.500 [1 per cell]
Pd1 0.000 0.500 0.500 [2 per cell]
I1 0.500 0.500 0.000 [1 per cell]

Properties
DOS at the Fermi energy: 1.202 states/eV/atom
Final energy: -3.740 eV/atom


Record 3
## AsIO (GGA-PBE)

Data for a geometry-optimized AsIO structure.

Cell lengths 7.903, 5.613, 8.505 Å; angles 90.00, 115.16, 90.00 degrees
Space group C2/m (No. 12)
Inequivalent atoms, fractional coordinates:
As1 0.034 0.000 0.173 [4 per cell]
I1 0.161 0.500 0.289 [4 per cell]
O1 0.167 0.000 0.037 [4 per cell]

Properties
Final energy: -4.319 eV/atom